8
Lattice="4.256 0.000 0.000 0.000 5.016 0.000 0.000 0.000 8.720" Properties=species:S:1:pos:R:3 comment="Li2CaIn | Alexandria | GGA-PBEsol | relaxed" e_form_ev_per_atom=-0.24 final_energy_ev_per_cell=-20.00 n_ef_per_ev_fu=1.63 spacegroup="Imm2 (44)" pbc="T T T"
Li 0.000 0.000 0.000
Li 0.000 2.508 2.421
Li 2.128 0.000 6.781
Li 2.128 2.508 4.360
Ca 0.000 2.508 6.713
Ca 2.128 0.000 2.353
In 0.000 0.000 4.707
In 2.128 2.508 0.347

16
Lattice="6.657 0.000 0.000 0.000 6.657 0.000 0.000 0.000 6.657" Properties=species:S:1:pos:R:3 comment="Mg2AlSi | Alexandria | GGA-PBEsol | relaxed" final_energy_ev_per_cell=-51.24 n_ef_per_ev_fu=1.86 formation_energy_uncorrected_mev_per_atom=116 spacegroup="Fm-3m (225)" pbc="T T T"
Mg 1.664 1.664 1.664
Mg 1.664 1.664 4.993
Mg 1.664 4.993 1.664
Mg 1.664 4.993 4.993
Mg 4.993 1.664 1.664
Mg 4.993 1.664 4.993
Mg 4.993 4.993 1.664
Mg 4.993 4.993 4.993
Al 0.000 0.000 0.000
Al 0.000 3.329 3.329
Al 3.329 0.000 3.329
Al 3.329 3.329 0.000
Si 0.000 0.000 3.329
Si 0.000 3.329 0.000
Si 3.329 0.000 0.000
Si 3.329 3.329 3.329